Density functional theory data (PBE with a Hubbard U) for crystalline Ta2CrTeF at its relaxed geometry.

Symmetry: No. 123
Size of the total moment in μB per cell: 0.028
Uncorrected energy in eV for the cell shown: -29.99
Crystal system: tetragonal

a b c (Å): 4.6639 4.8237 4.6639
angles (deg): 90.00 90.00 90.00
With the nearest neighbours (Å) after each atom.
Fractional coordinates of all 5 atoms:
1 Ta 0.5000 0.0000 0.0000  2 Cr 2.33
2 Cr 0.0000 0.0000 0.0000  4 Ta 2.33, 2 Te 2.41
3 F 0.5000 0.5000 0.5000  4 Te 3.30, 8 Ta 3.35
4 Ta 0.0000 0.0000 0.5000  2 Cr 2.33
5 Te 0.0000 0.5000 0.0000  2 Cr 2.41